DFT (PBE) results for a geometry-optimized Li9Sb3S structure.

Computed properties:
Its magnetization is 0.00 μB/f.u. As for the formation energy (no corrections): -697 meV/atom.

Cell lengths 7.2034, 9.3356, 15.0528 Å; angles 90.00, 103.55, 90.00 degrees
With the nearest neighbours (Å) after each atom.
Space group P2_1/c (No. 14)
One atom of each set of equivalent atoms:
Li (0.0091, 0.2049, 0.1310)  1 S 2.39, 1 Li 2.63
Li (0.0128, 0.5755, 0.7490)  1 S 2.61, 2 Li 2.76, 1 Sb 2.85
Li (0.1018, 0.2344, 0.9510)  3 Li 2.72-3.02, 4 Sb 2.81-3.04
Li (0.2488, 0.0104, 0.4126)  1 S 2.42
Li (0.2753, 0.7162, 0.1912)  1 S 2.42
Li (0.3589, 0.5213, 0.4079)  1 S 2.56, 1 Sb 2.82
Li (0.3756, 0.2287, 0.1365)  1 S 2.37, 1 Li 2.63
Li (0.3770, 0.7164, 0.0229)  1 S 2.55, 2 Li 2.72-2.80, 1 Sb 2.82
Li (0.4449, 0.5294, 0.7690)  1 S 2.53, 2 Li 2.80-2.82
Sb (0.1501, 0.0260, 0.5834)  8 Li 2.81-3.06, 1 Sb 2.95
Sb (0.1964, 0.5341, 0.5670)  8 Li 2.81-3.15, 1 Sb 3.13
Sb (0.3203, 0.2444, 0.8159)  9 Li 2.82-3.09
S (0.2955, 0.7213, 0.8490)  8 Li 2.37-2.61